The following is a PBE calculation of crystalline Sn2Pd2Cl at its relaxed geometry, from Alexandria via LeMat-Bulk.

The structure in POSCAR format:
```
Sn2Pd2Cl
1.0
7.818 0.000 0.000
0.000 7.818 0.000
0.000 0.000 3.336
Sn Pd Cl
4 4 2
Direct
0.161 0.339 0.000 Sn
0.339 0.839 0.000 Sn
0.661 0.161 0.000 Sn
0.839 0.661 0.000 Sn
0.131 0.631 0.500 Pd
0.369 0.131 0.500 Pd
0.631 0.869 0.500 Pd
0.869 0.369 0.500 Pd
0.000 0.000 0.500 Cl
0.500 0.500 0.500 Cl
```

Computed properties:
N(E_F), states/eV/cell: 3.974
Raw total energy, eV for the cell shown: -44.2
ΔE_f (raw), eV/atom: -0.3692

***

The following is a PBE calculation of crystalline Pr4Nd5Sm3 at its relaxed geometry, from Alexandria via LeMat-Bulk.

The structure in POSCAR format:
```
Pr4Nd5Sm3
1.0
8.252 -3.052 0.000
8.252 3.052 0.000
-4.195 0.000 8.553
Pr Nd Sm
4 5 3
Direct
0.083 0.083 0.442 Pr
0.215 0.215 0.878 Pr
0.785 0.785 0.122 Pr
0.917 0.917 0.558 Pr
0.000 0.000 0.000 Nd
0.328 0.328 0.611 Nd
0.426 0.426 0.301 Nd
0.574 0.574 0.699 Nd
0.672 0.672 0.389 Nd
0.208 0.208 0.227 Sm
0.500 0.500 0.000 Sm
0.792 0.792 0.773 Sm
```

Computed properties:
N(E_F), states/eV/cell: 20.331
Distance to the lowest polymorph of the same formula, meV/atom: 182
Raw total energy, eV for the cell shown: -54.8
ΔH_f (0 K), eV/atom: 0.194

***

The following is a PBE calculation of crystalline SmTe at its relaxed geometry, from Alexandria via LeMat-Bulk.

The structure in POSCAR format:
```
SmTe
1.0
3.841 0.000 0.000
0.000 3.841 0.000
0.000 0.000 3.841
Sm Te
1 1
Direct
0.000 0.000 0.000 Sm
0.500 0.500 0.500 Te
```

Computed properties:
N(E_F), states/eV/cell: 1.577
Raw total energy, eV for the cell shown: -10.4
ΔE_f (raw), eV/atom: -1.2750

***

The following is a PBE calculation of crystalline Er3Tm13 at its relaxed geometry, from Alexandria via LeMat-Bulk.

The structure in POSCAR format:
```
Er3Tm13
1.0
7.125 0.000 0.000
0.000 5.520 6.161
0.000 -5.520 6.161
Er Tm
3 13
Direct
0.000 0.000 0.000 Er
0.250 0.250 0.250 Er
0.750 0.250 0.250 Er
0.000 0.083 0.584 Tm
0.000 0.500 0.500 Tm
0.000 0.584 0.083 Tm
0.250 0.334 0.833 Tm
0.250 0.750 0.750 Tm
0.250 0.833 0.334 Tm
0.500 0.000 0.000 Tm
0.500 0.083 0.584 Tm
0.500 0.500 0.500 Tm
0.500 0.584 0.083 Tm
0.750 0.334 0.833 Tm
0.750 0.750 0.750 Tm
0.750 0.833 0.334 Tm
```

Computed properties:
N(E_F), states/eV/cell: 27.392
Raw total energy, eV for the cell shown: -71.9
ΔH_f (0 K), eV/atom: -0.004

***

The following is a PBE calculation of crystalline AcNd7Ho4 at its relaxed geometry, from Alexandria via LeMat-Bulk.

The structure in POSCAR format:
```
AcNd7Ho4
1.0
8.108 -3.074 0.000
8.108 3.074 0.000
-4.326 0.000 8.505
Ac Nd Ho
1 7 4
Direct
0.000 0.000 0.000 Ac
0.092 0.092 0.464 Nd
0.217 0.217 0.892 Nd
0.228 0.228 0.263 Nd
0.500 0.500 0.000 Nd
0.772 0.772 0.737 Nd
0.783 0.783 0.108 Nd
0.908 0.908 0.536 Nd
0.335 0.335 0.642 Ho
0.435 0.435 0.299 Ho
0.565 0.565 0.701 Ho
0.665 0.665 0.358 Ho
```

Computed properties:
N(E_F), states/eV/cell: 19.608
Distance to the lowest polymorph of the same formula, meV/atom: 221
Raw total energy, eV for the cell shown: -53.0
ΔH_f (0 K), eV/atom: 0.231

***

The following is a PBE calculation of crystalline Pa2Br8F at its relaxed geometry, from Alexandria via LeMat-Bulk.

The structure in POSCAR format:
```
Pa2Br8F
1.0
8.028 -6.095 0.000
8.028 6.095 0.000
-2.046 0.000 5.379
Pa Br F
2 8 1
Direct
0.153 0.153 0.152 Pa
0.847 0.847 0.848 Pa
0.077 0.639 0.859 Br
0.140 0.140 0.639 Br
0.330 0.330 0.327 Br
0.361 0.923 0.141 Br
0.639 0.077 0.859 Br
0.670 0.670 0.673 Br
0.860 0.860 0.361 Br
0.923 0.361 0.141 Br
0.000 0.000 0.000 F
```

Computed properties:
N(E_F), states/eV/cell: 6.985
Raw total energy, eV for the cell shown: -52.5
ΔE_f (raw), eV/atom: -1.6599

***

The following is a PBE calculation of crystalline Dy3YH8 at its relaxed geometry, from Alexandria via LeMat-Bulk.

The structure in POSCAR format:
```
Dy3YH8
1.0
5.181 0.000 0.000
0.000 5.181 0.000
0.000 0.000 5.181
Dy Y H
3 1 8
Direct
0.000 0.000 0.500 Dy
0.000 0.500 0.000 Dy
0.500 0.000 0.000 Dy
0.500 0.500 0.500 Y
0.249 0.249 0.249 H
0.249 0.249 0.751 H
0.249 0.751 0.249 H
0.249 0.751 0.751 H
0.751 0.249 0.249 H
0.751 0.249 0.751 H
0.751 0.751 0.249 H
0.751 0.751 0.751 H
```

Computed properties:
N(E_F), states/eV/cell: 2.733
Raw total energy, eV for the cell shown: -55.8

***

The following is a PBE calculation of crystalline SrAg2Pd2 at its relaxed geometry, from Alexandria via LeMat-Bulk.

The structure in POSCAR format:
```
SrAg2Pd2
1.0
-2.190 2.190 11.636
2.190 -2.190 11.636
2.190 2.190 -11.636
Sr Ag Pd
2 4 4
Direct
0.129 0.129 0.000 Sr
0.871 0.871 0.000 Sr
0.000 0.500 0.500 Ag
0.318 0.318 0.000 Ag
0.500 0.000 0.500 Ag
0.682 0.682 0.000 Ag
0.250 0.750 0.500 Pd
0.431 0.431 0.000 Pd
0.569 0.569 0.000 Pd
0.750 0.250 0.500 Pd
```

Computed properties:
N(E_F), states/eV/cell: 3.493
Distance to the lowest polymorph of the same formula, meV/atom: 31
Raw total energy, eV for the cell shown: -37.9
ΔH_f (0 K), eV/atom: -0.237

***

The following is a PBE calculation of crystalline YTh2Ag2Sn2 at its relaxed geometry, from Alexandria via LeMat-Bulk.

The structure in POSCAR format:
```
YTh2Ag2Sn2
1.0
2.414 1.394 9.279
-2.414 1.394 9.279
0.000 -2.787 9.279
Y Th Ag Sn
1 2 2 2
Direct
0.000 0.000 0.000 Y
0.130 0.130 0.130 Th
0.870 0.870 0.870 Th
0.399 0.399 0.399 Ag
0.601 0.601 0.601 Ag
0.266 0.266 0.266 Sn
0.734 0.734 0.734 Sn
```

Computed properties:
N(E_F), states/eV/cell: 7.717
Raw total energy, eV for the cell shown: -36.4
ΔH_f (0 K), eV/atom: -0.198

***

The following is a PBE calculation of crystalline Ce3PaS7 at its relaxed geometry, from Alexandria via LeMat-Bulk.

The structure in POSCAR format:
```
Ce3PaS7
1.0
6.635 -4.494 0.000
6.635 4.494 0.000
0.000 0.000 9.485
Ce Pa S
6 2 14
Direct
0.000 0.000 0.000 Ce
0.000 0.000 0.500 Ce
0.081 0.484 0.750 Ce
0.484 0.081 0.250 Ce
0.516 0.919 0.750 Ce
0.919 0.516 0.250 Ce
0.500 0.500 0.000 Pa
0.500 0.500 0.500 Pa
0.109 0.153 0.250 S
0.153 0.109 0.750 S
0.156 0.575 0.041 S
0.156 0.575 0.459 S
0.379 0.621 0.750 S
0.425 0.844 0.041 S
0.425 0.844 0.459 S
0.575 0.156 0.541 S
0.575 0.156 0.959 S
0.621 0.379 0.250 S
0.844 0.425 0.541 S
0.844 0.425 0.959 S
0.847 0.891 0.250 S
0.891 0.847 0.750 S
```

Computed properties:
N(E_F), states/eV/cell: 44.444
Raw total energy, eV for the cell shown: -152.0
ΔE_f (raw), eV/atom: -1.8029

***

The following is a PBE calculation of crystalline HfMn2I8 at its relaxed geometry, from Alexandria via LeMat-Bulk.

The structure in POSCAR format:
```
HfMn2I8
1.0
8.531 0.000 0.000
-4.266 7.388 0.000
0.000 0.000 8.263
Hf Mn I
1 2 8
Direct
0.000 0.000 0.000 Hf
0.333 0.667 0.293 Mn
0.667 0.333 0.707 Mn
0.153 0.306 0.210 I
0.153 0.847 0.210 I
0.306 0.153 0.790 I
0.333 0.667 0.602 I
0.667 0.333 0.398 I
0.694 0.847 0.210 I
0.847 0.153 0.790 I
0.847 0.694 0.790 I
```

Computed properties:
Raw total energy, eV for the cell shown: -46.0
ΔE_f (raw), eV/atom: -0.4787

***

The following is a PBE calculation of crystalline Nb3CrTc4 at its relaxed geometry, from Alexandria via LeMat-Bulk.

The structure in POSCAR format:
```
Nb3CrTc4
1.0
3.158 0.000 0.000
0.000 3.158 0.000
0.000 0.000 12.533
Nb Cr Tc
3 1 4
Direct
0.000 0.000 0.000 Nb
0.000 0.000 0.257 Nb
0.000 0.000 0.743 Nb
0.000 0.000 0.500 Cr
0.500 0.500 0.128 Tc
0.500 0.500 0.384 Tc
0.500 0.500 0.616 Tc
0.500 0.500 0.872 Tc
```

Computed properties:
N(E_F), states/eV/cell: 5.856
Raw total energy, eV for the cell shown: -82.8
ΔH_f (0 K), eV/atom: -0.187